Material: NpSnPb
Method: DFT, PBE
State: optimized geometry

a = 7.320 Å, b = 7.320 Å, c = 7.320 Å
α = 90.00°, β = 90.00°, γ = 90.00°
Space group F-43m (No. 216)
Symmetry-distinct sites (fractional):
Np 0.000 0.000 0.000
Sn 0.000 0.000 0.500
Pb 0.250 0.250 0.250

Output
The value obtained for the magnetization is 19.08 Bohr magnetons per cell. As for the electronic total energy: -75.881 eV/cell.